(1)
V2NiIr2 | PBE-GGA | optimized geometry

Values from the calculation:
**Calculated formation energy**: -0.22 eV per atom
**Density of states at the Fermi level**: 4.07 states/eV/f.u.
**Crystal system**: tetragonal
**Calculated volume**: 14.372 Å³ per atom

```
V2NiIr2
1.0
-0.2454 -2.7276 -6.6097
4.1100 -5.4657 2.1030
-2.2962 -1.4618 0.6885
Ni Ir V
2 4 4
Cartesian
0.0000 0.0000 0.0000
1.9323 -4.0966 -2.2534
3.4567 -5.7045 -0.5831
2.4077 -5.8364 -4.3619
0.4080 -2.4888 -3.9236
1.4570 -2.3569 -0.1448
1.5395 -4.8048 0.6581
2.1264 -7.1122 -2.2837
0.0290 -4.8503 -4.4763
-0.5579 -2.5429 -1.5345
```

(2)
V6Ni8Ir | PBE-GGA | optimized geometry

Values from the calculation:
**Calculated formation energy**: 0.19 eV per atom
**Density of states at the Fermi level**: 17.72 states/eV/f.u.
**Crystal system**: trigonal
**Calculated volume**: 12.738 Å³ per atom

```
V6Ni8Ir
1.0
-2.4500 -0.2234 0.7535
2.5979 -5.8133 6.7233
-0.3301 9.1098 1.6276
V Ni Ir
6 8 1
Cartesian
-0.4893 2.4731 5.0836
-0.9823 5.9013 4.4972
-1.5612 3.5786 1.9263
0.3070 0.5999 4.0208
0.8000 -2.8282 4.6072
1.3788 -0.5056 7.1781
-0.6915 4.0038 6.9240
-2.2627 6.5244 2.5624
-1.7884 1.2689 2.5465
0.5091 -0.9307 2.1804
2.0804 -3.4514 6.5420
1.6061 1.8042 6.5579
-0.4206 -1.0252 5.6529
0.2383 4.0983 3.4515
-1.2250 -0.1117 0.3767
```

(3)
V2Ni6Ir | PBE-GGA | optimized geometry

Values from the calculation:
**Calculated formation energy**: -0.13 eV per atom
**Density of states at the Fermi level**: 10.44 states/eV/f.u.
**Crystal system**: orthorhombic
**Calculated volume**: 11.828 Å³ per atom

```
V2Ni6Ir
1.0
2.5592 0.0000 0.0000
0.0000 6.1502 -3.2350
0.0000 -0.3376 6.9409
V Ni Ir
2 6 1
Cartesian
0.0000 3.3216 -0.0599
0.0000 1.3474 3.0366
1.2796 3.2893 2.0971
1.2796 3.1210 4.5638
1.2796 5.4545 0.9037
0.0000 5.0074 3.1925
0.0000 1.0800 5.3699
0.0000 5.3241 -1.2869
1.2796 1.1174 0.7124
```

(4)
V2NiIr2 | PBE-GGA | optimized geometry

Values from the calculation:
**Calculated formation energy**: -0.12 eV per atom
**Density of states at the Fermi level**: 5.42 states/eV/f.u.
**Crystal system**: tetragonal
**Calculated volume**: 14.473 Å³ per atom

```
V2NiIr2
1.0
-0.2024 5.0690 -5.2007
-1.4000 -5.1324 -4.9479
-2.6895 0.3262 0.4226
Ni Ir V
2 4 4
Cartesian
0.0000 0.0000 0.0000
-0.8012 -0.0317 -5.0743
-2.2799 -2.4124 -3.7519
-2.6701 -0.9378 -7.3740
-2.0119 2.6752 -5.9741
-1.6217 1.2006 -2.3520
-1.2612 -2.5884 -6.0286
-1.0817 0.9752 -7.6368
-0.3411 2.5250 -4.1200
-0.5206 -1.0386 -2.5118
```

(5)
VNiIrW | PBE-GGA | optimized geometry

Values from the calculation:
**Calculated formation energy**: -0.26 eV per atom
**Density of states at the Fermi level**: 2.63 states/eV/f.u.
**Crystal system**: orthorhombic
**Calculated volume**: 13.630 Å³ per atom

```
VNiIrW
1.0
3.7012 0.0000 0.0000
0.0000 3.8025 0.0000
0.0000 0.0000 3.8738
V Ni Ir W
1 1 1 1
Cartesian
0.0000 1.9013 1.9369
0.0000 0.0000 0.0000
1.8506 1.9013 0.0000
1.8506 0.0000 1.9369
```

(6)
Ni2IrW | PBE-GGA | optimized geometry

Values from the calculation:
**Calculated formation energy**: -0.06 eV per atom
**Density of states at the Fermi level**: 4.34 states/eV/f.u.
**Crystal system**: monoclinic
**Calculated volume**: 13.172 Å³ per atom

```
Ni2IrW
1.0
4.5880 -0.0113 -0.0032
3.7881 2.5884 -0.0032
0.7939 0.2443 4.4202
Ir Ni W
1 2 1
Cartesian
2.3219 0.7144 1.0996
0.7878 0.2424 4.3620
6.8713 2.1141 3.3644
4.5679 1.4054 2.2147
```

(7)
NiIr4W5 | PBE-GGA | optimized geometry

Values from the calculation:
**Calculated formation energy**: -0.19 eV per atom
**Density of states at the Fermi level**: 8.98 states/eV/f.u.
**Crystal system**: tetragonal
**Calculated volume**: 14.910 Å³ per atom

```
NiIr4W5
1.0
-0.7325 -1.3248 -2.3227
1.6987 -2.0904 0.6566
-14.4478 -8.7431 9.5429
Ni Ir W
1 4 5
Cartesian
0.0000 0.0000 0.0000
-2.8082 -1.6994 1.8548
-5.7510 -3.4802 3.7986
-8.6968 -5.2629 5.7443
-11.6397 -7.0438 7.6881
-0.8602 -2.5206 0.0543
-3.8024 -4.3010 1.9976
-6.7408 -6.0792 3.9384
-9.6792 -7.8574 5.8793
-12.6213 -9.6378 7.8226
```

(8)
Ni2IrW | PBE-GGA | optimized geometry

Values from the calculation:
**Calculated formation energy**: -0.11 eV per atom
**Density of states at the Fermi level**: 3.57 states/eV/f.u.
**Crystal system**: tetragonal
**Calculated volume**: 13.074 Å³ per atom

```
Ni2IrW
1.0
-1.1487 4.4355 -0.4695
-3.8439 0.4066 -2.5044
1.0522 -2.5626 3.6807
Ni Ir W
2 1 1
Cartesian
-0.0001 0.0001 -0.0001
-2.4962 2.4209 -1.4869
-1.2964 2.1469 0.8622
-2.6440 0.1325 -0.1553
```

(9)
Ni4IrW | PBE-GGA | optimized geometry

Values from the calculation:
**Calculated formation energy**: -0.08 eV per atom
**Density of states at the Fermi level**: 6.84 states/eV/f.u.
**Crystal system**: orthorhombic
**Calculated volume**: 12.384 Å³ per atom

```
Ni4IrW
1.0
3.7104 -0.4886 0.2669
0.3042 3.2833 1.7819
-0.5043 -0.8122 5.5243
Ni Ir W
4 1 1
Cartesian
-0.0717 0.8052 2.4704
1.5719 -0.2301 4.0975
-0.1285 1.6660 4.8358
1.9383 2.2127 3.4756
0.0000 0.0000 0.0000
2.0073 1.3974 1.0244
```

(10)
NiIrW | PBE-GGA | optimized geometry

Values from the calculation:
**Calculated formation energy**: -0.07 eV per atom
**Density of states at the Fermi level**: 1.80 states/eV/f.u.
**Crystal system**: hexagonal
**Calculated volume**: 14.007 Å³ per atom

```
NiIrW
1.0
-4.1153 -0.0068 -1.0124
-1.3907 -2.4034 -3.2020
-0.4189 -2.0441 1.7157
Ni Ir W
1 1 1
Cartesian
-3.2066 -1.4852 -2.1502
-5.2517 -3.3101 -2.6969
-1.3715 -0.6813 -0.7453
```

(11)
Ni2Ir2W | PBE-GGA | optimized geometry

Values from the calculation:
**Calculated formation energy**: 0.09 eV per atom
**Density of states at the Fermi level**: 6.64 states/eV/f.u.
**Crystal system**: tetragonal
**Calculated volume**: 13.464 Å³ per atom

```
Ni2Ir2W
1.0
6.9482 0.0000 0.0000
0.0000 6.9482 0.0000
0.0000 0.0000 2.7888
Ni Ir W
4 4 2
Cartesian
2.6127 6.0868 0.0000
6.0868 4.3355 0.0000
4.3355 0.8614 0.0000
0.8614 2.6127 0.0000
1.2014 4.6755 1.3944
4.6755 5.7468 1.3944
5.7468 2.2727 1.3944
2.2727 1.2014 1.3944
0.0000 0.0000 0.0000
3.4741 3.4741 0.0000
```

(12)
NiIrW3 | PBE-GGA | optimized geometry

Values from the calculation:
**Calculated formation energy**: 1.50 eV per atom
**Density of states at the Fermi level**: 6.99 states/eV/f.u.
**Crystal system**: cubic
**Calculated volume**: 17.150 Å³ per atom

```
NiIrW3
1.0
4.4097 0.0000 0.0000
0.0000 4.4097 0.0000
0.0000 0.0000 4.4097
Ni Ir W
1 1 3
Cartesian
0.0000 0.0000 0.0000
2.2048 2.2048 2.2048
0.0000 2.2048 0.0000
0.0000 0.0000 2.2048
2.2048 0.0000 0.0000
```

(13)
NiIrW3 | PBE-GGA | optimized geometry

Values from the calculation:
**Calculated formation energy**: 2.16 eV per atom
**Density of states at the Fermi level**: 6.78 states/eV/f.u.
**Crystal system**: cubic
**Calculated volume**: 21.065 Å³ per atom

```
NiIrW3
1.0
4.7226 0.0000 0.0000
0.0000 4.7226 0.0000
0.0000 0.0000 4.7226
Ni Ir W
1 1 3
Cartesian
2.3613 2.3613 2.3613
0.0000 0.0000 0.0000
0.0000 2.3613 0.0000
0.0000 0.0000 2.3613
2.3613 0.0000 0.0000
```

(14)
Ni2IrW | PBE-GGA | optimized geometry

Values from the calculation:
**Calculated formation energy**: -0.01 eV per atom
**Density of states at the Fermi level**: 5.14 states/eV/f.u.
**Crystal system**: orthorhombic
**Calculated volume**: 13.134 Å³ per atom

```
Ni2IrW
1.0
-2.1593 -2.9136 0.8751
1.3465 -1.5271 -1.7620
2.0225 0.1595 5.5214
Ni Ir W
2 1 1
Cartesian
0.8339 -0.3387 0.9301
2.5351 -1.0290 2.8293
-0.0684 -1.3771 3.1983
-0.4064 -2.2204 -0.4434
```

(15)
NiIr3W | PBE-GGA | optimized geometry

Values from the calculation:
**Calculated formation energy**: -0.16 eV per atom
**Density of states at the Fermi level**: 5.22 states/eV/f.u.
**Crystal system**: triclinic
**Calculated volume**: 14.189 Å³ per atom

```
NiIr3W
1.0
-1.1178 -1.2011 -4.3881
2.2875 -3.9110 -1.0630
-5.8079 -4.3174 0.1636
Ni Ir W
2 6 2
Cartesian
0.9050 -4.3791 -4.6373
-3.3322 -4.6186 -2.7179
-1.7980 -3.3248 -0.9644
-5.0206 -6.0125 -4.4028
-1.1556 -5.8405 -3.7129
-1.2716 -3.1571 -3.6423
0.4886 -4.4717 -2.0027
-3.2146 -7.3025 -2.7888
0.3702 -1.7921 -1.9358
-1.6796 -6.0045 -1.0313
```

(16)
NiIr9W2 | PBE-GGA | optimized geometry

Values from the calculation:
**Calculated formation energy**: -0.22 eV per atom
**Density of states at the Fermi level**: 8.80 states/eV/f.u.
**Crystal system**: tetragonal
**Calculated volume**: 14.524 Å³ per atom

```
NiIr9W2
1.0
3.8772 0.0000 0.0000
0.0000 3.8772 0.0000
0.0000 0.0000 11.5945
Ni Ir W
1 9 2
Cartesian
0.0000 0.0000 0.0000
1.9386 1.9386 0.0000
1.9386 1.9386 3.8677
1.9386 1.9386 7.7268
1.9386 0.0000 1.9401
1.9386 0.0000 5.7972
1.9386 0.0000 9.6543
0.0000 1.9386 1.9401
0.0000 1.9386 5.7972
0.0000 1.9386 9.6543
0.0000 0.0000 3.7677
0.0000 0.0000 7.8268
```

(17)
NiIrW | PBE-GGA | optimized geometry

Values from the calculation:
**Calculated formation energy**: 0.01 eV per atom
**Density of states at the Fermi level**: 2.39 states/eV/f.u.
**Crystal system**: trigonal
**Calculated volume**: 14.119 Å³ per atom

```
NiIrW
1.0
-2.3519 -1.0804 -0.8925
1.3369 -1.1647 2.0861
-3.3107 3.7327 4.2057
Ir Ni W
1 1 1
Cartesian
-0.0075 0.0084 0.0095
-2.2333 0.1441 1.5117
-2.0850 1.3351 3.8781
```

(18)
Ni2IrW | PBE-GGA | optimized geometry

Values from the calculation:
**Calculated formation energy**: 0.13 eV per atom
**Density of states at the Fermi level**: 6.14 states/eV/f.u.
**Crystal system**: trigonal
**Calculated volume**: 13.414 Å³ per atom

```
Ni2IrW
1.0
8.7466 0.0104 0.0061
8.3320 2.6610 0.0061
8.3320 1.3033 2.3200
Ir Ni W
1 2 1
Cartesian
19.0579 2.9810 1.7491
0.0127 0.0020 0.0012
12.6926 1.9853 1.1649
6.3526 0.9937 0.5830
```

(19)
NiIrW | PBE-GGA | optimized geometry

Values from the calculation:
**Calculated formation energy**: 0.35 eV per atom
**Density of states at the Fermi level**: 2.85 states/eV/f.u.
**Crystal system**: cubic
**Calculated volume**: 16.639 Å³ per atom

```
NiIrW
1.0
4.1329 0.0000 0.0000
2.0664 3.5792 0.0000
2.0664 1.1931 3.3745
Ir Ni W
1 1 1
Cartesian
0.0000 0.0000 0.0000
4.1329 2.3861 1.6872
6.1993 3.5792 2.5309
```

(20)
NiIr3W | PBE-GGA | optimized geometry

Values from the calculation:
**Calculated formation energy**: 1.60 eV per atom
**Density of states at the Fermi level**: 6.99 states/eV/f.u.
**Crystal system**: cubic
**Calculated volume**: 16.719 Å³ per atom

```
NiIr3W
1.0
4.3725 0.0000 0.0000
0.0000 4.3725 0.0000
0.0000 0.0000 4.3725
Ni Ir W
1 3 1
Cartesian
0.0000 0.0000 0.0000
0.0000 2.1862 0.0000
0.0000 0.0000 2.1862
2.1862 0.0000 0.0000
2.1862 2.1862 2.1862
```

(21)
NiIrW | PBE-GGA | optimized geometry

Values from the calculation:
**Calculated formation energy**: 0.41 eV per atom
**Density of states at the Fermi level**: 2.87 states/eV/f.u.
**Crystal system**: cubic
**Calculated volume**: 16.736 Å³ per atom

```
NiIrW
1.0
4.1409 0.0000 0.0000
2.0705 3.5862 0.0000
2.0705 1.1954 3.3811
Ir Ni W
1 1 1
Cartesian
6.2114 3.5862 2.5358
0.0000 0.0000 0.0000
4.1409 2.3908 1.6905
```

(22)
NiIr3W | PBE-GGA | optimized geometry

Values from the calculation:
**Calculated formation energy**: 1.90 eV per atom
**Density of states at the Fermi level**: 7.31 states/eV/f.u.
**Crystal system**: cubic
**Calculated volume**: 21.059 Å³ per atom

```
NiIr3W
1.0
4.7221 0.0000 0.0000
0.0000 4.7221 0.0000
0.0000 0.0000 4.7221
Ni Ir W
1 3 1
Cartesian
2.3610 2.3610 2.3610
0.0000 2.3610 0.0000
0.0000 0.0000 2.3610
2.3610 0.0000 0.0000
0.0000 0.0000 0.0000
```

(23)
Ni6IrW | PBE-GGA | optimized geometry

Values from the calculation:
**Calculated formation energy**: -0.05 eV per atom
**Density of states at the Fermi level**: 8.48 states/eV/f.u.
**Crystal system**: orthorhombic
**Calculated volume**: 11.986 Å³ per atom

```
Ni6IrW
1.0
4.2919 -0.0745 -1.1988
-1.7233 3.9307 -1.2009
0.0110 0.0197 5.7158
Ni Ir W
6 1 1
Cartesian
2.4756 0.4586 0.5504
3.1113 1.4147 2.7669
0.6518 0.9805 2.2732
-0.5317 2.4612 0.5492
0.1039 3.4173 2.7657
1.9278 2.8954 1.0429
0.0000 0.0000 0.0000
1.2843 1.9281 -1.1998
```

(24)
Ni2Ir2W | PBE-GGA | optimized geometry

Values from the calculation:
**Calculated formation energy**: -0.15 eV per atom
**Density of states at the Fermi level**: 7.66 states/eV/f.u.
**Crystal system**: monoclinic
**Calculated volume**: 13.440 Å³ per atom

```
Ni2Ir2W
1.0
3.5741 0.0000 1.1654
1.7533 4.1928 0.6860
0.4668 -0.1725 4.6317
Ni Ir W
2 2 1
Cartesian
2.4907 1.5588 4.4881
3.3036 2.4616 1.9950
4.5399 3.2347 4.2665
1.2543 0.7856 2.2166
0.0000 0.0000 0.0000
```

(25)
Ni2IrW | PBE-GGA | optimized geometry

Values from the calculation:
**Calculated formation energy**: -0.22 eV per atom
**Density of states at the Fermi level**: 2.47 states/eV/f.u.
**Crystal system**: orthorhombic
**Calculated volume**: 13.028 Å³ per atom

```
Ni2IrW
1.0
4.2760 0.0000 0.0000
0.0000 5.2525 0.0000
0.0000 0.0000 9.2813
Ni Ir W
8 4 4
Cartesian
1.0690 0.0253 6.1492
1.0690 2.6009 1.5086
3.2070 5.2271 3.1321
3.2070 2.6516 7.7727
1.0690 3.9952 3.8815
1.0690 3.8835 8.5221
3.2070 1.2573 5.3998
3.2070 1.3689 0.7592
1.0690 2.6321 6.2003
1.0690 5.2466 1.5596
3.2070 2.6204 3.0810
3.2070 0.0059 7.7217
1.0690 1.3178 3.8989
1.0690 1.3085 8.5395
3.2070 3.9347 5.3824
3.2070 3.9440 0.7418
```

(26)
Ni2IrW | PBE-GGA | optimized geometry

Values from the calculation:
**Calculated formation energy**: -0.07 eV per atom
**Density of states at the Fermi level**: 5.16 states/eV/f.u.
**Crystal system**: tetragonal
**Calculated volume**: 13.085 Å³ per atom

```
Ni2IrW
1.0
-1.6116 1.3020 3.1089
1.1687 -3.0173 1.8694
3.1725 1.7846 0.8972
Ir Ni W
1 2 1
Cartesian
2.1706 -0.6163 1.3833
0.0000 0.0000 0.0000
-0.2215 -0.8576 2.4892
0.7804 1.5433 2.0031
```